{"formula": "K3SrV2F9", "functional": "PBE with a Hubbard U", "state": "relaxed", "vol_a3_per_fu": 255.7, "cell": [[6.1237, 0.0000, 0.0000], [-3.0619, 5.3033, 0.0000], [0.0000, 0.0000, 7.8720]], "species": ["K", "K", "K", "Sr", "V", "V", "F", "F", "F", "F", "F", "F", "F", "F", "F"], "frac_coords": [[0.0000, 0.0000, 0.0000], [0.3333, 0.6667, 0.7164], [0.6667, 0.3333, 0.2836], [0.0000, 0.0000, 0.5000], [0.3333, 0.6667, 0.1552], [0.6667, 0.3333, 0.8448], [0.0000, 0.5000, 0.0000], [0.1721, 0.3442, 0.3072], [0.1721, 0.8279, 0.3072], [0.3442, 0.1721, 0.6928], [0.5000, 0.0000, 0.0000], [0.5000, 0.5000, 0.0000], [0.6558, 0.8279, 0.3072], [0.8279, 0.1721, 0.6928], [0.8279, 0.6558, 0.6928]]}

{"formula": "Na3Co2TeO6", "functional": "PBE with a Hubbard U", "state": "relaxed", "vol_a3_per_fu": 141.8, "cell": [[2.7441, -4.7505, 0.0000], [2.7441, 4.7505, 0.0000], [-1.8266, 0.0000, 5.4370]], "species": ["Na", "Na", "Na", "Co", "Co", "Te", "O", "O", "O", "O", "O", "O"], "frac_coords": [[0.0000, 0.0000, 0.0000], [0.3275, 0.6725, 0.0000], [0.6725, 0.3275, 0.0000], [0.1663, 0.8337, 0.5000], [0.8337, 0.1663, 0.5000], [0.5000, 0.5000, 0.5000], [0.1074, 0.4314, 0.2940], [0.2449, 0.2449, 0.7058], [0.4314, 0.1074, 0.2940], [0.5686, 0.8926, 0.7060], [0.7551, 0.7551, 0.2942], [0.8926, 0.5686, 0.7060]]}

| no. | final energy (eV per atom) |
| --- | --- |
| 1 | -5.413 |
| 2 | -5.219 |